1.
Computed, not measured: Pm5PrAg4 after structural relaxation at the GGA-PBE level of DFT. Values from VASP.

## Properties
ΔH_f (0 K): -0.210 eV/atom
N(E_F): 9.711 states/eV/cell
symmetry: No. 123

```
&SYSTEM
  ibrav = 0, nat = 10, ntyp = 3
/
ATOMIC_SPECIES
Pm 145.00 Pm.upf
Ag 107.87 Ag.upf
Pr 140.91 Pr.upf
CELL_PARAMETERS angstrom
3.714 0.000 0.000
0.000 3.714 0.000
0.000 0.000 20.215
ATOMIC_POSITIONS angstrom
Pm 1.857 1.857 6.331
Pm 1.857 1.857 13.884
Pm 1.857 1.857 17.627
Pm 1.857 1.857 2.588
Pm 1.857 1.857 10.107
Ag 0.000 0.000 11.989
Ag 0.000 0.000 8.226
Ag 0.000 0.000 4.455
Ag 0.000 0.000 15.760
Pr 0.000 0.000 0.000
```



2.
Computed, not measured: GdGeI2 after structural relaxation at the GGA-PBE level of DFT. Values from VASP.

## Properties
N(E_F): 6.333 states/eV/cell
symmetry: No. 166
formation energy from raw total energies: -0.011 eV per atom

```
&SYSTEM
  ibrav = 0, nat = 4, ntyp = 3
/
ATOMIC_SPECIES
I 126.90 I.upf
Ge 72.64 Ge.upf
Gd 157.25 Gd.upf
CELL_PARAMETERS angstrom
-0.115 0.392 3.919
-1.146 -3.025 2.250
9.477 -4.166 2.675
ATOMIC_POSITIONS angstrom
I 6.592 -3.208 2.495
I 1.624 -3.592 6.349
Ge 4.108 -3.400 4.422
Gd 0.000 0.000 0.000
```



3.
Computed, not measured: SnBAsSe2 after structural relaxation at the GGA-PBE level of DFT. Values from VASP.

## Properties
N(E_F): 3.823 states/eV/cell
symmetry: No. 123
formation energy from raw total energies: 1.439 eV per atom
energy above the lowest structure with this stoichiometry: 4.74 eV per formula unit

```
&SYSTEM
  ibrav = 0, nat = 5, ntyp = 4
/
ATOMIC_SPECIES
Sn 118.71 Sn.upf
Se 78.96 Se.upf
As 74.92 As.upf
B 10.81 B.upf
CELL_PARAMETERS angstrom
-5.085 1.037 -1.158
-1.552 -3.176 3.973
0.082 4.091 3.302
ATOMIC_POSITIONS angstrom
Sn 0.000 0.000 0.000
Se -0.776 -1.588 1.986
Se -2.543 0.519 -0.579
As 0.041 2.046 1.651
B -3.278 0.976 3.059
```



4.
Computed, not measured: LiMgCu2 after structural relaxation at the GGA-PBE level of DFT. Values from VASP.

## Properties
ΔH_f (0 K): -0.049 eV/atom
N(E_F): 1.336 states/eV/cell
symmetry: No. 139

```
&SYSTEM
  ibrav = 0, nat = 4, ntyp = 3
/
ATOMIC_SPECIES
Cu 63.55 Cu.upf
Li 6.94 Li.upf
Mg 24.30 Mg.upf
CELL_PARAMETERS angstrom
-1.138 -4.138 -1.885
1.953 -3.397 2.571
-2.647 3.668 1.227
ATOMIC_POSITIONS angstrom
Cu 0.000 0.000 0.000
Cu 0.408 -3.768 0.343
Li -0.143 -1.748 2.070
Mg -1.689 -2.119 -0.158
```



5.
Computed, not measured: Cr5As after structural relaxation at the GGA-PBE level of DFT. Values from VASP.

## Properties
ΔH_f (0 K): 0.029 eV/atom
N(E_F): 4.921 states/eV/cell
symmetry: No. 65
energy above the lowest structure with this stoichiometry: 0.11 eV per formula unit

```
&SYSTEM
  ibrav = 0, nat = 6, ntyp = 2
/
ATOMIC_SPECIES
Cr 52.00 Cr.upf
As 74.92 As.upf
CELL_PARAMETERS angstrom
-4.508 3.298 -2.855
2.027 -4.705 3.620
-0.330 2.327 3.210
ATOMIC_POSITIONS angstrom
Cr 0.906 -3.332 2.509
Cr -2.491 1.789 0.912
Cr -3.387 1.925 -1.744
Cr -0.320 -0.869 3.063
Cr -0.165 1.164 1.605
As -1.240 -0.704 0.382
```



6.
Computed, not measured: Li2TaPt after structural relaxation at the GGA-PBE level of DFT. Values from VASP.

## Properties
ΔH_f (0 K): -0.113 eV/atom
N(E_F): 4.450 states/eV/cell
symmetry: No. 123
energy above the lowest structure with this stoichiometry: 0.58 eV per formula unit

```
&SYSTEM
  ibrav = 0, nat = 4, ntyp = 3
/
ATOMIC_SPECIES
Pt 195.08 Pt.upf
Li 6.94 Li.upf
Ta 180.95 Ta.upf
CELL_PARAMETERS angstrom
-2.800 3.472 -1.187
-1.640 -2.184 -2.519
-2.457 -1.107 2.558
ATOMIC_POSITIONS angstrom
Pt -2.220 0.644 -1.853
Li 0.000 0.000 0.000
Li -2.048 -1.645 0.020
Ta -2.628 1.182 0.686
```



- Which of these has the highest N(E_F)?
  Pm5PrAg4



- N(E_F) of number 4 (LiMgCu2)?
  1.336 states/eV/cell



- Which value of N(E_F) does entry 5 give?
  4.921 states/eV/cell